Entry 1:
The following is a PBE calculation of an optimized crystal structure of Sr2Zn3InAg12, from the Alexandria database.

Geometry as extended XYZ:
```
18
Lattice="-8.4531 0.8470 0.9257 -5.1962 -3.5152 -5.8028 -4.6547 -6.8290 2.1743" Properties=species:S:1:pos:R:3 pbc="T T T"
Sr -11.1648 -5.7930 -1.6486
Sr -7.1392 -3.7042 -1.0542
Zn -4.2266 0.4235 0.4628
Zn -2.5981 -1.7576 -2.9014
Zn -2.3274 -3.4145 1.0871
In 0.0000 0.0000 0.0000
Ag -9.0350 -7.0073 0.1696
Ag -13.6668 -4.9982 -3.3750
Ag -11.8658 -8.6379 -2.7829
Ag -11.0310 -2.9736 -0.4865
Ag -13.4101 -6.5695 0.4075
Ag -9.3195 -5.2659 -4.0222
Ag -9.2691 -2.4899 -2.8724
Ag -4.6372 -4.4989 0.6721
Ag -6.4383 -0.8593 0.0801
Ag -7.2731 -6.5235 -2.2163
Ag -4.8940 -2.9276 -3.1103
Ag -8.9845 -4.2313 1.3194
```

DFT formation energy: 194 meV per atom



Entry 2:
The following is a PBE calculation of an optimized crystal structure of Ac2Pr2Sm3, from the Alexandria database.

Geometry as extended XYZ:
```
7
Lattice="3.6989 0.0000 0.0000 0.0000 8.9800 -0.7577 -1.8495 -3.7177 8.3355" Properties=species:S:1:pos:R:3 pbc="T T T"
Ac 1.8495 3.3892 5.4014
Ac 0.0000 1.8731 2.1765
Pr 1.8495 7.6361 0.4346
Pr 0.0000 -2.3738 7.1432
Sm 0.0000 4.4900 -0.3789
Sm 0.0000 5.6976 2.9082
Sm 1.8495 -0.4353 4.6696
```

DFT formation energy: 106 meV per atom
E above lowest polymorph: 0.0 meV per atom



Entry 3:
The following is a PBE calculation of an optimized crystal structure of AcErZn2Si2, from the Alexandria database.

Geometry as extended XYZ:
```
6
Lattice="-2.2974 2.3408 -2.6070 -1.6709 -1.4082 3.5747 2.6547 7.1048 4.0398" Properties=species:S:1:pos:R:3 pbc="T T T"
Ac 0.0000 0.0000 0.0000
Er 1.3273 3.5524 2.0199
Zn -1.3644 3.0292 0.5556
Zn 0.0508 5.0081 4.4519
Si -0.1713 6.2223 2.3712
Si -1.1423 1.8150 2.6363
```

E_form (uncorrected): -0.575 eV/atom



Entry 4:
The following is a PBE calculation of an optimized crystal structure of Ce2YPb, from the Alexandria database.

Geometry as extended XYZ:
```
4
Lattice="-4.6568 -1.6908 -1.7791 1.8243 -0.5894 -4.2149 1.1546 -4.3452 1.1073" Properties=species:S:1:pos:R:3 pbc="T T T"
Pb -2.3284 -0.8454 -0.8896
Y -0.8390 -3.3127 -2.4433
Ce 0.5773 -2.1726 0.5537
Ce 0.9121 -0.2947 -2.1074
```

DFT formation energy: -272 meV per atom
E above lowest polymorph: 33.6 meV per atom



Entry 5:
The following is a PBE calculation of an optimized crystal structure of PmNd2Dy2Sc2, from the Alexandria database.

Geometry as extended XYZ:
```
7
Lattice="-1.6618 0.6790 -2.8958 3.9134 -7.6854 -2.0434 -7.3121 -0.4867 4.0820" Properties=species:S:1:pos:R:3 pbc="T T T"
Pm -3.6560 -0.2434 2.0410
Nd -7.0610 -1.1510 1.7778
Nd 2.0005 -6.3421 -2.6350
Dy -4.4567 -3.5225 1.7316
Dy -0.6038 -3.9707 -2.5888
Sc -2.7818 -2.1011 -0.9006
Sc -2.2786 -5.3921 0.0434
```

DFT formation energy: 183 meV per atom



Entry 6:
The following is a PBE calculation of an optimized crystal structure of Y2Pd2Cl, from the Alexandria database.

Geometry as extended XYZ:
```
10
Lattice="-2.6183 3.8768 -6.2603 -0.1305 -6.6677 -4.0745 -3.5196 -0.6026 1.0989" Properties=species:S:1:pos:R:3 pbc="T T T"
Y -0.9610 -4.2433 -5.4050
Y -2.2503 -1.2932 -7.9169
Y -1.7878 1.4524 -4.9298
Y -0.4985 -1.4977 -2.4179
Pd -2.1616 -3.9769 -2.7532
Pd -3.5041 -3.7395 -6.9228
Pd -4.1068 0.5834 -6.4827
Pd -2.7644 0.3460 -2.3131
Cl 0.0000 0.0000 0.0000
Cl -1.3744 -1.3954 -5.1674
```

E_form (uncorrected): -1.025 eV/atom
E above lowest polymorph: 0.0 meV per atom



The calculation returns the following V values, one per record and in order: 24.99 38.07 21.77 28.22 31.62 22.82 A^3/atom.